Run 1
Computed, not measured: Pm3YBi3 after structural relaxation at the PBE level of DFT.

```
Pm3YBi3
1.0
9.578 0.000 0.000
0.000 9.578 0.000
0.000 0.000 9.578
Pm Y Bi
12 4 12
Direct
0.823 0.323 0.177 Pm
0.931 0.931 0.931 Pm
0.822 0.678 0.322 Pm
0.177 0.823 0.323 Pm
0.178 0.178 0.178 Pm
0.322 0.822 0.678 Pm
0.069 0.431 0.569 Pm
0.323 0.177 0.823 Pm
0.678 0.322 0.822 Pm
0.677 0.677 0.677 Pm
0.569 0.069 0.431 Pm
0.431 0.569 0.069 Pm
0.073 0.573 0.927 Y
0.927 0.073 0.573 Y
0.427 0.427 0.427 Y
0.573 0.927 0.073 Y
0.754 0.627 0.999 Bi
0.873 0.001 0.254 Bi
0.999 0.754 0.627 Bi
0.127 0.501 0.246 Bi
0.246 0.127 0.501 Bi
0.254 0.873 0.001 Bi
0.001 0.254 0.873 Bi
0.373 0.499 0.746 Bi
0.501 0.246 0.127 Bi
0.627 0.999 0.754 Bi
0.746 0.373 0.499 Bi
0.499 0.746 0.373 Bi
```

Results
Its calculated volume is 878.58 Å³ per cell.

***

Run 2
Computed, not measured: Pm3YBi3 after structural relaxation at the PBE level of DFT.

```
Pm3YBi3
1.0
9.297 0.000 0.000
4.648 8.051 0.000
4.648 2.684 6.403
Pm Y Bi
6 2 6
Direct
0.342 0.824 0.747 Pm
0.824 0.087 0.747 Pm
0.087 0.342 0.747 Pm
0.913 0.658 0.253 Pm
0.176 0.913 0.253 Pm
0.658 0.176 0.253 Pm
0.333 0.333 0.002 Y
0.667 0.667 0.998 Y
0.307 0.527 0.245 Bi
0.922 0.307 0.245 Bi
0.527 0.922 0.245 Bi
0.473 0.078 0.755 Bi
0.078 0.693 0.755 Bi
0.693 0.473 0.755 Bi
```

Results
Its calculated volume is 479.24 Å³ per cell.

***

Result of the stability comparison: run 2 is the least stable of them.

***

Run 1
Computed, not measured: PmZnBi2 after structural relaxation at the PBE level of DFT.

```
PmZnBi2
1.0
-2.602 -3.588 -1.100
-2.152 -2.348 3.273
-8.676 3.409 -0.074
Zn Bi Pm
1 2 1
Direct
0.000 0.000 0.000 Zn
0.097 0.097 0.708 Bi
0.903 0.903 0.292 Bi
0.500 0.500 0.500 Pm
```

Results
Its calculated volume is 161.51 Å³ per cell.

***

Run 2
Computed, not measured: PmZnBi2 after structural relaxation at the PBE level of DFT.

```
PmZnBi2
1.0
-2.586 2.033 3.222
-3.436 0.921 -3.339
-2.119 -4.280 1.000
Zn Bi Pm
1 2 1
Direct
0.500 0.000 0.000 Zn
0.000 0.000 0.500 Bi
0.000 0.500 0.000 Bi
0.500 0.500 0.500 Pm
```

Results
Its calculated volume is 109.62 Å³ per cell.

***

Result of the stability comparison: run 1 is the least stable of them.